# MgPb2 GGA-PBEsol relaxed
# ρ = 8.78 g/cm³
# energy relative to the elements = -40 meV/atom
# DOS at the Fermi energy = 1.2 states/eV/f.u.
data_MgPb2
_cell_length_a 4.7943
_cell_length_b 4.8025
_cell_length_c 14.6023
_cell_angle_alpha 90.00
_cell_angle_beta 99.16
_cell_angle_gamma 90.00
_symmetry_space_group_name_H-M 'C 1 2/c 1'
_symmetry_Int_Tables_number 15
loop_
_symmetry_equiv_pos_as_xyz
'x,y,z'
'-x,-y,-z'
'-x,y,-z+1/2'
'x,-y,z+1/2'
'x+1/2,y+1/2,z'
'-x+1/2,-y+1/2,-z'
'-x+1/2,y+1/2,-z+1/2'
'x+1/2,-y+1/2,z+1/2'
loop_
_atom_site_label
_atom_site_type_symbol
_atom_site_fract_x
_atom_site_fract_y
_atom_site_fract_z
Mg1 Mg 0.0000 0.1250 0.2500
Pb1 Pb 0.0717 0.3761 0.8980